No. 1
A crystal of TcAs4Ru relaxed with PBEsol. Source: Alexandria via LeMat-Bulk, functional SCAN.

Geometry as POSCAR:
```
TcAs4Ru
1.0
0.000 3.677 3.677
3.677 0.000 3.677
3.677 3.677 0.000
Tc As Ru
1 4 1
direct
0.000 0.000 0.000
0.375 0.375 0.375
0.375 0.375 0.875
0.375 0.875 0.375
0.875 0.375 0.375
0.750 0.750 0.750
```

* density of states at the Fermi level: 0.681 states/eV per atom
* energy relative to the elements: 1.01 eV per atom
* space group: F-43m (216)
* final energy: -24.1014 eV per atom

=====

No. 2
A crystal of SbPb2Se relaxed with PBEsol. Source: Alexandria via LeMat-Bulk, functional SCAN.

Geometry as POSCAR:
```
SbPb2Se
1.0
4.327 0.000 0.000
0.000 4.327 0.000
0.000 0.000 6.327
Sb Pb Se
1 2 1
direct
0.000 0.000 0.000
0.000 0.000 0.492
0.500 0.500 0.954
0.500 0.500 0.493
```

* density of states at the Fermi level: 0.351 states/eV per atom
* energy relative to the lowest polymorph listed for this composition: 0 meV per atom
* energy relative to the elements, uncorrected: -0.2367 eV per atom
* space group: P4mm (99)
* final energy: -52.4620 eV per atom

=====

No. 3
A crystal of Sr2Ti6O13 relaxed with PBEsol. Source: Alexandria via LeMat-Bulk, functional SCAN.

Geometry as POSCAR:
```
Sr2Ti6O13
1.0
7.248 -1.944 0.000
7.248 1.944 0.000
-1.205 0.000 9.006
Sr Ti O
2 6 13
direct
0.051 0.051 0.285
0.949 0.949 0.715
0.254 0.254 0.728
0.336 0.336 0.055
0.378 0.378 0.398
0.622 0.622 0.602
0.664 0.664 0.945
0.746 0.746 0.272
0.123 0.123 0.619
0.197 0.197 0.933
0.256 0.256 0.250
0.329 0.329 0.581
0.375 0.375 0.875
0.436 0.436 0.198
0.500 0.500 0.500
0.564 0.564 0.802
0.625 0.625 0.125
0.671 0.671 0.419
0.744 0.744 0.750
0.803 0.803 0.067
0.877 0.877 0.381
```

* density of states at the Fermi level: 0.248 states/eV per atom
* energy relative to the elements, uncorrected: -3.3525 eV per atom
* space group: C2/m (12)
* final energy: -13.9114 eV per atom

=====

No. 4
A crystal of MnMoSCl2 relaxed with PBEsol. Source: Alexandria via LeMat-Bulk, functional SCAN.

Geometry as POSCAR:
```
MnMoSCl2
1.0
4.813 0.000 0.000
0.000 4.813 0.000
0.000 0.000 4.584
Mn Mo S Cl
1 1 1 2
direct
0.000 0.000 0.000
0.500 0.500 0.500
0.500 0.500 0.000
0.000 0.500 0.500
0.500 0.000 0.500
```

* density of states at the Fermi level: 0.465 states/eV per atom
* energy relative to the elements, uncorrected: -0.1835 eV per atom
* space group: P4/mmm (123)
* final energy: -15.9283 eV per atom

=====

No. 5
A crystal of RbReMoRh2 relaxed with PBEsol. Source: Alexandria via LeMat-Bulk, functional SCAN.

Geometry as POSCAR:
```
RbReMoRh2
1.0
4.682 0.000 0.000
0.000 4.682 0.000
0.000 0.000 5.297
Rb Re Mo Rh
1 1 1 2
direct
0.000 0.000 0.000
0.000 0.000 0.500
0.500 0.500 0.000
0.000 0.500 0.500
0.500 0.000 0.500
```

* density of states at the Fermi level: 0.655 states/eV per atom
* energy relative to the elements: 2.05 eV per atom
* space group: P4/mmm (123)
* final energy: -36.7987 eV per atom

=====

No. 6
A crystal of TaSbW relaxed with PBEsol. Source: Alexandria via LeMat-Bulk, functional SCAN.

Geometry as POSCAR:
```
TaSbW
1.0
6.280 0.000 0.000
0.000 6.280 0.000
0.000 0.000 6.280
Ta Sb W
4 4 4
direct
0.000 0.000 0.000
0.000 0.500 0.500
0.500 0.000 0.500
0.500 0.500 0.000
0.250 0.250 0.750
0.250 0.750 0.250
0.750 0.250 0.250
0.750 0.750 0.750
0.000 0.000 0.500
0.000 0.500 0.000
0.500 0.000 0.000
0.500 0.500 0.500
```

* density of states at the Fermi level: 1.263 states/eV per atom
* energy relative to the elements, uncorrected: 1.1869 eV per atom
* space group: F-43m (216)
* final energy: -56.6571 eV per atom

=====

No. 7
A crystal of LiCa2Zn2 relaxed with PBEsol. Source: Alexandria via LeMat-Bulk, functional SCAN.

Geometry as POSCAR:
```
LiCa2Zn2
1.0
5.758 0.000 0.000
0.000 5.758 0.000
0.000 0.000 7.829
Li Ca Zn
2 4 4
direct
0.000 0.000 0.000
0.500 0.500 0.500
0.000 0.500 0.250
0.000 0.500 0.750
0.500 0.000 0.250
0.500 0.000 0.750
0.000 0.000 0.350
0.000 0.000 0.650
0.500 0.500 0.150
0.500 0.500 0.850
```

* density of states at the Fermi level: 0.665 states/eV per atom
* energy relative to the lowest polymorph listed for this composition: 116 meV per atom
* energy relative to the elements: -0.09 eV per atom
* space group: I4/mmm (139)
* final energy: -9.8363 eV per atom

=====

No. 8
A crystal of Cr2CdSe relaxed with PBEsol. Source: Alexandria via LeMat-Bulk, functional SCAN.

Geometry as POSCAR:
```
Cr2CdSe
1.0
2.946 0.000 0.000
-1.473 2.552 0.000
0.000 0.000 25.199
Cr Cd Se
6 3 3
direct
0.000 0.000 0.000
0.000 0.000 0.273
0.333 0.667 0.667
0.333 0.667 0.940
0.667 0.333 0.333
0.667 0.333 0.606
0.000 0.000 0.515
0.333 0.667 0.182
0.667 0.333 0.848
0.000 0.000 0.738
0.333 0.667 0.404
0.667 0.333 0.071
```

* density of states at the Fermi level: 0.265 states/eV per atom
* energy relative to the elements, uncorrected: 0.2822 eV per atom
* space group: R3m (160)
* final energy: -21.5333 eV per atom

=====

| no. | V (Å³ per atom) |
| --- | --- |
| 1 | 16.6 |
| 2 | 29.6 |
| 3 | 12.1 |
| 4 | 21.2 |
| 5 | 23.2 |
| 6 | 20.6 |
| 7 | 26.0 |
| 8 | 15.8 |